5
Lattice="4.773 0.000 0.000 0.000 4.773 0.000 0.000 0.000 5.382" Properties=species:S:1:pos:R:3 comment="PBE-GGA CaMgTaRh2, optimized geometry" dft_energy_ev_per_atom=-5.3708 dos_at_fermi_per_ev_atom=0.642 e_form_ev_per_atom=0.66 pbc="T T T"
Ca 0.000 0.000 0.000
Mg 2.386 2.386 0.000
Ta 0.000 0.000 2.691
Rh 0.000 2.386 2.691
Rh 2.386 0.000 2.691

---

8
Lattice="5.700 0.000 0.000 0.000 3.282 0.000 -1.893 0.000 5.520" Properties=species:S:1:pos:R:3 comment="PBE-GGA UPaTi2C4, optimized geometry" dft_energy_ev_per_atom=-9.6392 dos_at_fermi_per_ev_atom=0.559 e_form_ev_per_atom=-0.46 pbc="T T T"
U 0.000 0.000 0.000
Pa 2.850 1.641 0.000
Ti -0.946 1.641 2.760
Ti 1.903 0.000 2.760
C -0.036 0.000 3.989
C 0.918 1.641 1.528
C 2.888 1.641 3.992
C 3.843 0.000 1.531

---

10
Lattice="4.192 0.000 0.000 0.000 4.192 0.000 0.000 0.000 10.115" Properties=species:S:1:pos:R:3 comment="PBE-GGA Sm2BeGe3Ir4, optimized geometry" dft_energy_ev_per_atom=-6.9776 dos_at_fermi_per_ev_atom=0.745 e_form_ev_per_atom=-0.73 pbc="T T T"
Sm 0.000 2.096 2.466
Sm 2.096 0.000 7.650
Be 2.096 2.096 0.000
Ge 0.000 0.000 0.000
Ge 0.000 2.096 6.424
Ge 2.096 0.000 3.691
Ir 0.000 0.000 5.058
Ir 0.000 2.096 8.877
Ir 2.096 0.000 1.238
Ir 2.096 2.096 5.058